A plane-wave DFT calculation with PBE was carried out for a relaxed structure of RbAs2IrBr.

Its relative energy among the computed polymorphs is 2.232 eV/atom. The calculated density is 2.52 g/cm³. The value obtained for the raw formation energy is 2.057 eV per atom. The value obtained for the raw total energy is -2.103 eV/atom.

It has space group P4/mmm (No. 123), with a = 7.270 Å, b = 7.270 Å, c = 6.320 Å, α = 90.00°, β = 90.00° and γ = 90.00°. The inequivalent atoms are Rb at (0.000, 0.000, 0.000), As at (0.000, 0.500, 0.000), Ir at (0.500, 0.500, 0.500) and Br at (0.000, 0.000, 0.500).

A plane-wave DFT calculation with PBE was carried out for a relaxed structure of ReAsIrBr2.

Its relative energy among the computed polymorphs is 0.000 eV/atom. The calculated density is 7.87 g/cm³. The value obtained for the raw formation energy is 1.418 eV per atom. The value obtained for the raw total energy is -4.443 eV/atom.

It has space group P4/mmm (No. 123), with a = 5.247 Å, b = 5.247 Å, c = 4.700 Å, α = 90.00°, β = 90.00° and γ = 90.00°. The inequivalent atoms are Re at (0.000, 0.000, 0.000), As at (0.500, 0.500, 0.000), Ir at (0.500, 0.500, 0.500) and Br at (0.000, 0.500, 0.500).

A plane-wave DFT calculation with PBE was carried out for a relaxed structure of ReAsIrBr2.

Its relative energy among the computed polymorphs is 0.116 eV/atom. The calculated density is 8.37 g/cm³. The value obtained for the raw formation energy is 1.534 eV per atom. The value obtained for the raw total energy is -4.327 eV/atom.

It has space group P4/mmm (No. 123), with a = 5.036 Å, b = 5.036 Å, c = 4.797 Å, α = 90.00°, β = 90.00° and γ = 90.00°. The inequivalent atoms are Re at (0.000, 0.000, 0.000), As at (0.000, 0.000, 0.500), Ir at (0.500, 0.500, 0.500) and Br at (0.000, 0.500, 0.000).